Entry 1:
Compound: Sm2RuRh
Source: Alexandria
Functional: PBE
Structure: optimized geometry

The space group is P4/mmm (No. 123) and the conventional cell measures 3.486, 3.486 and 6.950 Å, with angles of 90.00, 90.00 and 90.00 degrees. The inequivalent atoms are Sm at (0.000, 0.000, 0.247), Ru at (0.500, 0.500, 0.000) and Rh at (0.500, 0.500, 0.500).

The spin magnetization comes out at 0.00 μB/cell. For the formation energy, the calculation gives -468 meV/atom. For the total energy, the calculation gives -6.98 eV/atom.

Entry 2:
Compound: Sm2Ru3Rh
Source: Alexandria
Functional: PBE
Structure: optimized geometry

The space group is R-3m (No. 166, hexagonal axes) and the conventional cell measures 5.2772, 5.2772 and 13.8129 Å, with angles of 90.00, 90.00 and 120.00 degrees. The inequivalent atoms are Sm at (0.0000, 0.0000, 0.1222), Ru at (0.0000, 0.5000, 0.0000) and Rh at (0.0000, 0.0000, 0.5000).

The spin magnetization comes out at 0.00 μB/cell. For the formation energy, the calculation gives -335 meV/atom. For the total energy, the calculation gives -7.77 eV/atom.

Entry 3:
Compound: SmSn4RuRh2
Source: Alexandria
Functional: PBE
Structure: optimized geometry

The space group is R-3m (No. 166, hexagonal axes) and the conventional cell measures 4.5053, 4.5053 and 27.9635 Å, with angles of 90.00, 90.00 and 120.00 degrees. The inequivalent atoms are Sm at (0.0000, 0.0000, 0.0000), Sn at (0.0000, 0.0000, 0.1310), Sn at (0.0000, 0.0000, 0.3965), Ru at (0.0000, 0.0000, 0.5000) and Rh at (0.0000, 0.0000, 0.2317).

The spin magnetization comes out at 0.00 μB/cell. For the formation energy, the calculation gives -431 meV/atom. For the total energy, the calculation gives -6.02 eV/atom.

Entry 4:
Compound: SmSnRuRh
Source: Alexandria
Functional: PBE
Structure: optimized geometry

The space group is F-43m (No. 216) and the conventional cell measures 6.694, 6.694 and 6.694 Å, with angles of 90.00, 90.00 and 90.00 degrees. The inequivalent atoms are Sm at (0.000, 0.000, 0.000), Sn at (0.000, 0.000, 0.500), Ru at (0.250, 0.250, 0.750) and Rh at (0.250, 0.250, 0.250).

The spin magnetization comes out at 0.00 μB/cell. For the formation energy, the calculation gives -518 meV/atom. For the total energy, the calculation gives -6.85 eV/atom.